Entry 1:
# Fe2CuAu

An optimized crystal structure of Fe2CuAu (PBE, Alexandria via LeMat-Bulk).

a = 2.6909 Å, b = 2.6909 Å, c = 7.5387 Å
α = 90.00°, β = 90.00°, γ = 90.00°
With the nearest neighbours (Å) after each atom.
Sites, in units of the cell vectors:
Fe  0.0000  0.0000  0.2274  4 Cu 2.56, 4 Fe 2.69, 4 Au 2.80
Fe  0.0000  0.0000  0.7726  4 Cu 2.56, 4 Fe 2.69, 4 Au 2.80
Cu  0.5000  0.5000  0.0000  8 Fe 2.56, 4 Cu 2.69
Au  0.5000  0.5000  0.5000  4 Au 2.69, 8 Fe 2.80

Properties
Crystal system: tetragonal



Entry 2:
# FeCu2Au2

An optimized crystal structure of FeCu2Au2 (PBE, Alexandria via LeMat-Bulk).

a = 6.7564 Å, b = 6.7564 Å, c = 3.3518 Å
α = 90.00°, β = 90.00°, γ = 90.00°
With the nearest neighbours (Å) after each atom.
Sites, in units of the cell vectors:
Fe  0.0000  0.0000  0.0000  4 Cu 2.65
Fe  0.5000  0.5000  0.0000  4 Cu 2.65
Cu  0.1296  0.3704  0.0000  1 Cu 2.48, 6 Au 2.54-2.64, 2 Fe 2.65
Cu  0.3704  0.8704  0.0000  1 Cu 2.48, 6 Au 2.54-2.64, 2 Fe 2.65
Cu  0.6296  0.1296  0.0000  1 Cu 2.48, 6 Au 2.54-2.64, 2 Fe 2.65
Cu  0.8704  0.6296  0.0000  1 Cu 2.48, 6 Au 2.54-2.64, 2 Fe 2.65
Au  0.1704  0.6704  0.5000  6 Cu 2.54-2.64
Au  0.3296  0.1704  0.5000  6 Cu 2.54-2.64
Au  0.6704  0.8296  0.5000  6 Cu 2.54-2.64
Au  0.8296  0.3296  0.5000  6 Cu 2.54-2.64

Properties
Crystal system: tetragonal



Entry 3:
# FeCu2Au

An optimized crystal structure of FeCu2Au (PBE, Alexandria via LeMat-Bulk).

a = 2.7240 Å, b = 3.5619 Å, c = 5.6467 Å
α = 90.00°, β = 90.00°, γ = 90.00°
With the nearest neighbours (Å) after each atom.
Sites, in units of the cell vectors:
Fe  0.0000  0.0000  0.0000  5 Cu 2.56-2.59, 4 Au 2.71, 2 Fe 2.72
Cu  0.0000  0.0000  0.5466  1 Fe 2.56, 6 Cu 2.57-2.72, 4 Au 2.73
Cu  0.5000  0.5000  0.7692  6 Cu 2.57-2.72, 4 Fe 2.59, 2 Au 2.82-2.83
Au  0.5000  0.5000  0.2699  4 Fe 2.71, 2 Au 2.72, 6 Cu 2.73-2.83

Properties
Crystal system: orthorhombic



Entry 4:
# Fe2CuAu

An optimized crystal structure of Fe2CuAu (PBE, Alexandria via LeMat-Bulk).

a = 8.9436 Å, b = 8.9436 Å, c = 8.9436 Å
α = 17.27°, β = 17.27°, γ = 17.27°
With the nearest neighbours (Å) after each atom.
Sites, in units of the cell vectors:
Fe  0.2450  0.2450  0.2450  3 Cu 2.59, 6 Fe 2.69, 3 Au 2.80
Fe  0.7550  0.7550  0.7550  3 Cu 2.59, 6 Fe 2.69, 3 Au 2.80
Cu  0.5000  0.5000  0.5000  6 Fe 2.59, 6 Cu 2.69
Au  0.0000  0.0000  0.0000  6 Au 2.69, 6 Fe 2.80

Properties
Crystal system: trigonal



Entry 5:
# Fe2CuAu

An optimized crystal structure of Fe2CuAu (PBE, Alexandria via LeMat-Bulk).

a = 5.4852 Å, b = 5.4852 Å, c = 5.4852 Å
α = 102.08°, β = 102.08°, γ = 125.54°
With the nearest neighbours (Å) after each atom.
Sites, in units of the cell vectors:
Fe  0.1052  0.1250  0.4802  2 Cu 2.43, 2 Fe 2.52, 2 Au 2.61
Fe  0.3750  0.8948  0.0198  2 Cu 2.43, 2 Fe 2.52, 2 Au 2.61
Fe  0.6448  0.6250  0.5198  2 Cu 2.43, 2 Fe 2.52, 2 Au 2.61
Fe  0.8750  0.3552  0.9802  2 Cu 2.43, 2 Fe 2.52, 2 Au 2.61
Cu  0.0000  0.0000  0.0000  4 Fe 2.43, 2 Au 2.51
Cu  0.7500  0.2500  0.5000  4 Fe 2.43, 2 Au 2.51
Au  0.2500  0.7500  0.5000  2 Cu 2.51, 4 Fe 2.61
Au  0.5000  0.5000  0.0000  2 Cu 2.51, 4 Fe 2.61

Properties
Crystal system: tetragonal



Entry 6:
# FeCuAu

An optimized crystal structure of FeCuAu (PBE, Alexandria via LeMat-Bulk).

a = 4.3054 Å, b = 4.3054 Å, c = 2.6730 Å
α = 90.00°, β = 90.00°, γ = 120.00°
With the nearest neighbours (Å) after each atom.
Sites, in units of the cell vectors:
Fe  0.0000  0.0000  0.0000  3 Cu 2.60, 2 Fe 2.67, 3 Au 2.71
Cu  0.6667  0.3333  0.7207  3 Fe 2.60, 3 Au 2.63, 2 Cu 2.67
Au  0.3333  0.6667  0.4033  3 Cu 2.63, 2 Au 2.67, 3 Fe 2.71

Properties
Crystal system: trigonal



Entry 7:
# FeCuAu

An optimized crystal structure of FeCuAu (PBE, Alexandria via LeMat-Bulk).

a = 4.6573 Å, b = 4.6970 Å, c = 4.8110 Å
α = 100.98°, β = 101.59°, γ = 118.85°
With the nearest neighbours (Å) after each atom.
Sites, in units of the cell vectors:
Fe  0.2485  0.2498  0.2502  5 Cu 2.64-2.79, 2 Fe 2.65-2.66, 5 Au 2.69-2.76
Fe  0.7515  0.7502  0.7498  5 Cu 2.64-2.79, 2 Fe 2.65-2.66, 5 Au 2.69-2.76
Cu  0.4230  0.0762  0.7509  5 Fe 2.64-2.79, 5 Au 2.66-2.76, 2 Cu 2.69-2.72
Cu  0.5770  0.9238  0.2491  5 Fe 2.64-2.79, 5 Au 2.66-2.76, 2 Cu 2.69-2.72
Au  0.0933  0.4060  0.7500  5 Cu 2.66-2.76, 5 Fe 2.69-2.76, 2 Au 2.83-2.84
Au  0.9067  0.5940  0.2500  5 Cu 2.66-2.76, 5 Fe 2.69-2.76, 2 Au 2.83-2.84

Properties
Crystal system: triclinic



Entry 8:
# FeCu5Au6

An optimized crystal structure of FeCu5Au6 (PBE, Alexandria via LeMat-Bulk).

a = 7.4939 Å, b = 7.4939 Å, c = 7.4939 Å
α = 146.96°, β = 126.71°, γ = 64.14°
With the nearest neighbours (Å) after each atom.
Sites, in units of the cell vectors:
Fe  0.0000  0.0000  0.0000  8 Au 2.71-2.72, 4 Cu 2.98
Cu  0.1645  0.6645  0.5000  8 Au 2.69-2.72, 2 Fe 2.98
Cu  0.3335  0.3335  0.0000  8 Au 2.70-2.71, 2 Cu 3.00
Cu  0.5000  0.0000  0.5000  8 Au 2.71, 4 Cu 3.00
Cu  0.6665  0.6665  0.0000  8 Au 2.70-2.71, 2 Cu 3.00
Cu  0.8355  0.3355  0.5000  8 Au 2.69-2.72, 2 Fe 2.98
Au  0.0831  0.8328  0.2503  7 Cu 2.70-2.72, 1 Fe 2.71, 4 Au 2.99-3.01
Au  0.2508  0.5000  0.7508  6 Cu 2.69-2.71, 2 Fe 2.72
Au  0.4175  0.1672  0.2503  7 Cu 2.70-2.72, 1 Fe 2.71, 4 Au 2.99-3.01
Au  0.5825  0.8328  0.7497  7 Cu 2.70-2.72, 1 Fe 2.71, 4 Au 2.99-3.01
Au  0.7492  0.5000  0.2492  6 Cu 2.69-2.71, 2 Fe 2.72
Au  0.9169  0.1672  0.7497  7 Cu 2.70-2.72, 1 Fe 2.71, 4 Au 2.99-3.01

Properties
Crystal system: orthorhombic



Entry 9:
# Fe2CuAu

An optimized crystal structure of Fe2CuAu (PBE, Alexandria via LeMat-Bulk).

a = 4.5166 Å, b = 4.5166 Å, c = 4.7208 Å
α = 100.86°, β = 100.86°, γ = 35.59°
With the nearest neighbours (Å) after each atom.
Sites, in units of the cell vectors:
Fe  0.0000  0.0000  0.0000  5 Fe 2.54-2.76, 2 Cu 2.60, 3 Au 2.68-2.70
Fe  0.7404  0.7404  0.2269  5 Fe 2.54-2.76, 3 Cu 2.60-2.63, 4 Au 2.73-2.74
Cu  0.4883  0.4883  0.4627  7 Fe 2.60-2.87, 3 Au 2.64-2.69, 2 Cu 2.76
Au  0.2448  0.2448  0.7262  3 Cu 2.64-2.69, 7 Fe 2.68-2.74, 2 Au 2.76

Properties
Crystal system: monoclinic



Entry 10:
# Fe2CuAu

An optimized crystal structure of Fe2CuAu (PBE, Alexandria via LeMat-Bulk).

a = 3.1759 Å, b = 3.1759 Å, c = 5.4572 Å
α = 90.00°, β = 90.00°, γ = 90.00°
With the nearest neighbours (Å) after each atom.
Sites, in units of the cell vectors:
Fe  0.0000  0.0000  0.2160  1 Fe 2.36, 4 Cu 2.54
Fe  0.0000  0.0000  0.7840  1 Fe 2.36, 4 Cu 2.54
Cu  0.5000  0.5000  0.0000  8 Fe 2.54, 2 Au 2.73
Au  0.5000  0.5000  0.5000  2 Cu 2.73, 8 Fe 2.73

Properties
Crystal system: tetragonal



Entry 11:
# Fe2CuAu

An optimized crystal structure of Fe2CuAu (PBE, Alexandria via LeMat-Bulk).

a = 4.6850 Å, b = 4.6850 Å, c = 2.6994 Å
α = 90.00°, β = 90.00°, γ = 111.75°
With the nearest neighbours (Å) after each atom.
Sites, in units of the cell vectors:
Fe  0.0000  0.5000  0.0000  4 Fe 2.63-2.70, 4 Au 2.70, 4 Cu 2.70
Fe  0.5000  0.0000  0.0000  4 Fe 2.63-2.70, 4 Au 2.70, 4 Cu 2.70
Cu  0.0000  0.0000  0.5000  2 Au 2.63, 2 Cu 2.70, 8 Fe 2.70
Au  0.5000  0.5000  0.5000  2 Cu 2.63, 2 Au 2.70, 8 Fe 2.70

Properties
Crystal system: orthorhombic



Entry 12:
# Fe2CuAu

An optimized crystal structure of Fe2CuAu (PBE, Alexandria via LeMat-Bulk).

a = 8.3928 Å, b = 8.3928 Å, c = 8.3928 Å
α = 19.20°, β = 19.20°, γ = 19.20°
With the nearest neighbours (Å) after each atom.
Sites, in units of the cell vectors:
Fe  0.0000  0.0000  0.0000  3 Fe 2.40, 3 Cu 2.55
Fe  0.2615  0.2615  0.2615  3 Fe 2.40
Cu  0.7467  0.7467  0.7467  3 Fe 2.55, 3 Au 2.75, 6 Cu 2.80
Au  0.5036  0.5036  0.5036  3 Cu 2.75, 3 Fe 2.77, 6 Au 2.80

Properties
Crystal system: trigonal



Entry 13:
# FeCu2Au

An optimized crystal structure of FeCu2Au (PBE, Alexandria via LeMat-Bulk).

a = 4.6138 Å, b = 4.6138 Å, c = 2.7148 Å
α = 90.00°, β = 90.00°, γ = 107.47°
With the nearest neighbours (Å) after each atom.
Sites, in units of the cell vectors:
Fe  0.0000  0.0000  0.0000  8 Cu 2.68, 2 Fe 2.71, 2 Au 2.73
Cu  0.0000  0.5000  0.5000  4 Fe 2.68, 4 Au 2.68, 4 Cu 2.71-2.73
Cu  0.5000  0.0000  0.5000  4 Fe 2.68, 4 Au 2.68, 4 Cu 2.71-2.73
Au  0.5000  0.5000  0.0000  8 Cu 2.68, 2 Au 2.71, 2 Fe 2.73

Properties
Crystal system: orthorhombic



Entry 14:
# FeCu3Au

An optimized crystal structure of FeCu3Au (PBE, Alexandria via LeMat-Bulk).

a = 4.4134 Å, b = 4.4134 Å, c = 4.4134 Å
α = 90.00°, β = 90.00°, γ = 90.00°
With the nearest neighbours (Å) after each atom.
Sites, in units of the cell vectors:
Fe  0.0000  0.0000  0.0000  6 Cu 2.21
Cu  0.0000  0.0000  0.5000  2 Fe 2.21
Cu  0.0000  0.5000  0.0000  2 Fe 2.21
Cu  0.5000  0.0000  0.0000  2 Fe 2.21
Au  0.5000  0.5000  0.5000  12 Cu 3.12

Properties
Crystal system: cubic



Entry 15:
# Fe2CuAu

An optimized crystal structure of Fe2CuAu (PBE, Alexandria via LeMat-Bulk).

a = 4.7529 Å, b = 4.7529 Å, c = 4.7529 Å
α = 134.09°, β = 134.09°, γ = 66.95°
With the nearest neighbours (Å) after each atom.
Sites, in units of the cell vectors:
Fe  0.2500  0.7500  0.5000  4 Fe 2.62, 4 Au 2.71, 4 Cu 2.71
Fe  0.7500  0.2500  0.5000  4 Fe 2.62, 4 Au 2.71, 4 Cu 2.71
Cu  0.0000  0.0000  0.0000  4 Au 2.62, 8 Fe 2.71
Au  0.5000  0.5000  0.0000  4 Cu 2.62, 8 Fe 2.71

Properties
Crystal system: tetragonal



The following ΔE_f values (in eV per formula unit) correspond, in order, to the records above: 0.8 1.1 0.5 1.1 2.1 0.6 0.4 0.1 0.7 0.9 0.8 0.9 0.7 5.0 0.6.